Density functional theory data (GGA-PBE) for a geometry-optimized LaPm6Nd2 structure.

The value obtained for the total energy is -4.589 eV per atom. The formation energy is 0.1853 eV per atom.

Structure (POSCAR):
```
LaPm6Nd2
1.0
7.6604 0.0000 0.0000
-3.8302 6.6341 0.0000
0.0000 0.0000 6.2236
La Pm Nd
1 6 2
Cartesian
0.0000 0.0000 0.0000
0.0000 2.4659 1.8037
-1.6947 5.4012 1.8037
2.1355 1.2329 4.4199
1.6947 5.4012 1.8037
5.5249 1.2329 4.4199
3.8302 4.1683 4.4199
0.0000 4.4227 4.8641
3.8302 2.2114 1.3596
```

Density functional theory data (GGA-PBE) for a geometry-optimized Ac2PmPb2O2 structure.

The calculation puts the uncorrected formation energy at -11.21 eV per formula unit. The value obtained for the total energy is -5.930 eV per atom.

Structure (POSCAR):
```
Ac2PmPb2O2
1.0
-2.3139 2.3139 8.6496
2.3139 -2.3139 8.6496
2.3139 2.3139 -8.6496
Ac Pm Pb O
2 1 2 2
Cartesian
0.0000 0.0000 1.8806
0.0000 0.0000 15.4186
0.0000 0.0000 8.6496
0.0000 0.0000 5.1866
0.0000 0.0000 12.1125
2.3139 0.0000 0.0000
0.0000 2.3139 0.0000
```

Density functional theory data (GGA-PBE) for a geometry-optimized MgZr2Cl structure.

The calculation puts the uncorrected formation energy at -0.75 eV per formula unit. The value obtained for the total energy is -5.321 eV per atom.

Structure (POSCAR):
```
MgZr2Cl
1.0
5.1406 0.0000 0.0000
0.0000 5.1406 0.0000
0.0000 0.0000 3.3185
Mg Zr Cl
1 2 1
Cartesian
0.0000 0.0000 0.0000
0.0000 2.5703 1.6592
2.5703 0.0000 1.6592
2.5703 2.5703 1.6592
```

Density functional theory data (GGA-PBE) for a geometry-optimized Sc4In5 structure.

The value obtained for the total energy is -4.660 eV per atom. The formation energy is -0.3243 eV per atom.

Structure (POSCAR):
```
Sc4In5
1.0
-4.8789 4.8789 2.1939
4.8789 -4.8789 2.1939
4.8789 4.8789 -2.1939
Sc In
4 5
Cartesian
3.1491 0.0000 0.0000
6.6086 0.0000 0.0000
0.0000 3.1491 0.0000
0.0000 6.6086 0.0000
0.0000 0.0000 0.0000
3.2192 3.2192 0.0000
1.6597 -1.6597 2.1939
-1.6597 1.6597 2.1939
1.6597 1.6597 2.1939
```

Size of the total moment (computed, μB per formula unit): 0.00 0.00 0.00 0.00